Record 1
A geometry-optimized CaCdSbF structure. Source: the Alexandria database, functional GGA-PBE.

Cell lengths 4.376, 4.376, 9.397 Å; angles 90.00, 90.00, 90.00 degrees
Fractional coordinates of all 8 atoms:
Ca: 0.000 0.500 0.880
Ca: 0.500 0.000 0.120
Cd: 0.000 0.000 0.500
Cd: 0.500 0.500 0.500
Sb: 0.500 0.000 0.708
Sb: 0.000 0.500 0.292
F: 0.500 0.500 0.000
F: 0.000 0.000 0.000

## Properties
The value obtained for the uncorrected formation energy is -6.686 eV per formula unit. The uncorrected energy is -3.90 eV per atom. As for the space group: No. 129.

Record 2
A geometry-optimized SrCa2CdF8 structure. Source: the Alexandria database, functional GGA-PBE.

Cell lengths 3.969, 5.603, 7.876 Å; angles 90.00, 90.00, 90.01 degrees
Fractional coordinates of all 12 atoms:
Sr: 0.000 0.000 0.500
Ca: 0.500 0.500 0.756
Ca: 0.500 0.500 0.244
Cd: 0.000 0.000 0.000
F: 0.000 0.743 0.240
F: 0.500 0.752 0.000
F: 0.000 0.257 0.240
F: 0.000 0.257 0.760
F: 0.500 0.248 0.000
F: 0.000 0.743 0.760
F: 0.500 0.736 0.500
F: 0.500 0.264 0.500

## Properties
The value obtained for the uncorrected formation energy is -41.992 eV per formula unit. The uncorrected energy is -5.30 eV per atom. As for the space group: No. 47. The value obtained for the density of states at the Fermi level is 0.0 states/eV/f.u.

Record 3
A geometry-optimized CaTl4Cd3F12 structure. Source: the Alexandria database, functional GGA-PBE.

Cell lengths 7.787, 7.787, 7.787 Å; angles 109.47, 109.47, 109.47 degrees
Fractional coordinates of all 20 atoms:
Ca: 0.000 0.000 0.000
Tl: 0.500 0.500 0.500
Tl: 0.000 0.000 0.500
Tl: 0.500 0.000 0.000
Tl: 0.000 0.500 0.000
Cd: 0.500 0.000 0.500
Cd: 0.500 0.500 0.000
Cd: 0.000 0.500 0.500
F: 0.250 0.500 0.750
F: 0.750 0.000 0.750
F: 0.250 0.000 0.250
F: 0.750 0.500 0.250
F: 0.750 0.750 0.000
F: 0.250 0.250 0.000
F: 0.750 0.250 0.500
F: 0.250 0.750 0.500
F: 0.500 0.250 0.750
F: 0.000 0.750 0.750
F: 0.500 0.750 0.250
F: 0.000 0.250 0.250

## Properties
The value obtained for the uncorrected formation energy is -45.824 eV per formula unit. The uncorrected energy is -4.12 eV per atom. As for the space group: No. 229. The value obtained for the density of states at the Fermi level is 0.0 states/eV/f.u.

Record 4
A geometry-optimized CaTlCd2F8 structure. Source: the Alexandria database, functional GGA-PBE.

Cell lengths 3.926, 5.576, 7.950 Å; angles 90.00, 90.00, 89.99 degrees
Fractional coordinates of all 12 atoms:
Ca: 0.000 0.000 0.000
Tl: 0.000 0.000 0.500
Cd: 0.500 0.500 0.757
Cd: 0.500 0.500 0.243
F: 0.000 0.743 0.240
F: 0.500 0.752 0.000
F: 0.000 0.257 0.240
F: 0.000 0.257 0.760
F: 0.500 0.248 0.000
F: 0.000 0.743 0.760
F: 0.500 0.740 0.500
F: 0.500 0.260 0.500

## Properties
The value obtained for the uncorrected formation energy is -30.078 eV per formula unit. The uncorrected energy is -4.27 eV per atom. As for the space group: No. 47. The value obtained for the density of states at the Fermi level is 1.4 states/eV/f.u.

Record 5
A geometry-optimized CaTl3Cd2F9 structure. Source: the Alexandria database, functional GGA-PBE.

Cell lengths 6.363, 6.363, 7.807 Å; angles 90.00, 90.00, 120.00 degrees
Fractional coordinates of all 15 atoms:
Ca: 0.000 0.000 0.500
Tl: 0.333 0.667 0.693
Tl: 0.000 0.000 0.000
Tl: 0.667 0.333 0.307
Cd: 0.333 0.667 0.172
Cd: 0.667 0.333 0.828
F: 0.836 0.164 0.672
F: 0.836 0.673 0.672
F: 0.327 0.164 0.672
F: 0.673 0.836 0.328
F: 0.164 0.327 0.328
F: 0.164 0.836 0.328
F: 0.500 0.000 0.000
F: 0.000 0.500 0.000
F: 0.500 0.500 0.000

## Properties
The value obtained for the uncorrected formation energy is -35.637 eV per formula unit. The uncorrected energy is -4.23 eV per atom. As for the space group: No. 164. The value obtained for the density of states at the Fermi level is 0.0 states/eV/f.u.

Record 6
A geometry-optimized Ca2TlCdF8 structure. Source: the Alexandria database, functional GGA-PBE.

Cell lengths 3.960, 5.576, 7.941 Å; angles 90.00, 90.00, 90.00 degrees
Fractional coordinates of all 12 atoms:
Ca: 0.500 0.500 0.759
Ca: 0.500 0.500 0.241
Tl: 0.000 0.000 0.500
Cd: 0.000 0.000 0.000
F: 0.000 0.743 0.238
F: 0.500 0.751 0.000
F: 0.000 0.257 0.238
F: 0.000 0.257 0.762
F: 0.500 0.249 0.000
F: 0.000 0.743 0.762
F: 0.500 0.739 0.500
F: 0.500 0.261 0.500

## Properties
The value obtained for the uncorrected formation energy is -35.235 eV per formula unit. The uncorrected energy is -4.79 eV per atom. As for the space group: No. 47. The value obtained for the density of states at the Fermi level is 1.7 states/eV/f.u.

Record 7
A geometry-optimized CaZnCd2F8 structure. Source: the Alexandria database, functional GGA-PBE.

Cell lengths 3.918, 5.393, 7.513 Å; angles 90.00, 90.00, 93.39 degrees
Fractional coordinates of all 12 atoms:
Ca: 0.000 0.000 0.500
Zn: 0.000 0.000 0.000
Cd: 0.500 0.500 0.758
Cd: 0.500 0.500 0.242
F: 0.034 0.759 0.236
F: 0.556 0.767 0.000
F: 0.966 0.241 0.236
F: 0.966 0.241 0.764
F: 0.444 0.233 0.000
F: 0.034 0.759 0.764
F: 0.506 0.748 0.500
F: 0.494 0.252 0.500

## Properties
The value obtained for the uncorrected formation energy is -31.413 eV per formula unit. The uncorrected energy is -4.29 eV per atom. As for the space group: No. 10. The value obtained for the density of states at the Fermi level is 0.0 states/eV/f.u.

Record 8
A geometry-optimized CaZn2CdF8 structure. Source: the Alexandria database, functional GGA-PBE.

Cell lengths 5.335, 5.335, 6.743 Å; angles 113.30, 113.30, 90.00 degrees
Fractional coordinates of all 12 atoms:
Ca: 0.000 0.000 0.000
Zn: 0.500 0.500 0.000
Zn: 0.250 0.750 0.500
Cd: 0.750 0.250 0.500
F: 0.768 0.849 0.175
F: 0.407 0.326 0.175
F: 0.601 0.657 0.676
F: 0.075 0.019 0.676
F: 0.981 0.399 0.324
F: 0.343 0.925 0.324
F: 0.151 0.593 0.825
F: 0.674 0.232 0.825

## Properties
The value obtained for the uncorrected formation energy is -32.184 eV per formula unit. The uncorrected energy is -4.38 eV per atom. As for the space group: No. 82. The value obtained for the density of states at the Fermi level is 0.0 states/eV/f.u.

Record 9
A geometry-optimized Ca2ZrCdF structure. Source: the Alexandria database, functional GGA-PBE.

Cell lengths 4.681, 5.594, 4.681 Å; angles 90.00, 90.00, 90.00 degrees
Last column: magnetic moment on the atom in μB.
Fractional coordinates of all 5 atoms:
Ca: 0.000 0.000 0.500  0.07
Ca: 0.500 0.000 0.000  0.06
F: 0.000 0.000 0.000  0.02
Zr: 0.500 0.500 0.500  1.04
Cd: 0.000 0.500 0.000  0.04

## Properties
The value obtained for the uncorrected formation energy is -3.962 eV per formula unit. The uncorrected energy is -3.86 eV per atom. As for the space group: No. 123. The value obtained for the density of states at the Fermi level is 4.5 states/eV/f.u.

Record 10
A geometry-optimized CaCdFe2 structure. Source: the Alexandria database, functional GGA-PBE.

Cell lengths 5.675, 5.675, 5.675 Å; angles 147.93, 128.82, 61.69 degrees
Last column: magnetic moment on the atom in μB.
Fractional coordinates of all 4 atoms:
Ca: 0.512 0.512 0.000  -0.06
Fe: 0.971 0.971 0.000  2.44
Fe: 0.795 0.295 0.500  2.62
Cd: 0.222 0.722 0.500  -0.03

## Properties
The uncorrected energy is -4.63 eV per atom. For the formation energy, the calculation gives 1.304 eV per formula unit. As for the space group: No. 44. The value obtained for the density of states at the Fermi level is 2.6 states/eV/f.u.

Record 11
A geometry-optimized CaCdFe2 structure. Source: the Alexandria database, functional GGA-PBE.

Cell lengths 5.360, 5.360, 2.832 Å; angles 81.88, 81.88, 114.94 degrees
Last column: magnetic moment on the atom in μB.
Fractional coordinates of all 4 atoms:
Ca: 0.500 0.000 0.500  -0.15
Fe: 0.000 0.000 0.000  2.48
Fe: 0.500 0.500 0.000  2.48
Cd: 0.000 0.500 0.500  -0.07

## Properties
The uncorrected energy is -4.37 eV per atom. For the formation energy, the calculation gives 2.346 eV per formula unit. As for the space group: No. 12. The value obtained for the density of states at the Fermi level is 4.2 states/eV/f.u.

Record 12
A geometry-optimized CaCdFe2 structure. Source: the Alexandria database, functional GGA-PBE.

Cell lengths 3.199, 3.199, 7.353 Å; angles 90.00, 90.00, 90.00 degrees
Last column: magnetic moment on the atom in μB.
Fractional coordinates of all 4 atoms:
Ca: 0.000 0.000 0.467  -0.06
Fe: 0.000 0.000 0.052  2.61
Fe: 0.500 0.500 0.180  2.54
Cd: 0.500 0.500 0.801  -0.03

## Properties
The uncorrected energy is -4.77 eV per atom. For the formation energy, the calculation gives 0.778 eV per formula unit. As for the space group: No. 99. The value obtained for the density of states at the Fermi level is 3.7 states/eV/f.u.

Record 13
A geometry-optimized CaCdFe structure. Source: the Alexandria database, functional GGA-PBE.

Cell lengths 4.922, 4.922, 4.922 Å; angles 60.00, 60.00, 60.00 degrees
Last column: magnetic moment on the atom in μB.
Fractional coordinates of all 3 atoms:
Ca: 0.750 0.750 0.750  -0.07
Fe: 0.500 0.500 0.500  2.92
Cd: 0.000 0.000 0.000  -0.04

## Properties
The uncorrected energy is -2.90 eV per atom. For the formation energy, the calculation gives 2.685 eV per formula unit. As for the space group: No. 216. The value obtained for the density of states at the Fermi level is 5.2 states/eV/f.u.